Record 1
NaMg2MnRh | PBE | optimized geometry

```
data_NaMg2MnRh
_chemical_formula_sum 'Na1 Mg2 Mn1 Rh1'
_symmetry_space_group_name_H-M 'P 4/m m m'
_symmetry_Int_Tables_number 123
_symmetry_space_group_name_Hall '-P 4 2'
_cell_length_a 4.813
_cell_length_b 4.813
_cell_length_c 4.702
_cell_angle_alpha 90.00
_cell_angle_beta 90.00
_cell_angle_gamma 90.00
loop_
_atom_site_label
_atom_site_type_symbol
_atom_site_fract_x
_atom_site_fract_y
_atom_site_fract_z
_atom_site_occupancy
Na1 Na 0.000 0.000 0.000 1
Mg1 Mg 0.000 0.500 0.000 1
Mn1 Mn 0.500 0.500 0.500 1
Rh1 Rh 0.000 0.000 0.500 1
```

Summary:
* magnetization: 4.255 μB/cell
* calculated formation energy: 1.10 eV per atom


Record 2
AcLa4Pr | PBE | optimized geometry

```
data_AcLa4Pr
_chemical_formula_sum 'Ac2 La8 Pr2'
_symmetry_space_group_name_H-M 'P m m a'
_symmetry_Int_Tables_number 51
_symmetry_space_group_name_Hall '-P 2a 2a'
_cell_length_a 7.561
_cell_length_b 6.243
_cell_length_c 9.724
_cell_angle_alpha 90.00
_cell_angle_beta 90.00
_cell_angle_gamma 90.00
loop_
_atom_site_label
_atom_site_type_symbol
_atom_site_fract_x
_atom_site_fract_y
_atom_site_fract_z
_atom_site_occupancy
Ac1 Ac 0.250 0.000 0.176 1
La1 La 0.000 0.000 0.500 1
La2 La 0.017 0.500 0.825 1
La3 La 0.250 0.500 0.481 1
Pr1 Pr 0.250 0.000 0.817 1
```

Summary:
* relative energy among the computed polymorphs: 0.0 meV/atom
* magnetization: 0.000 μB/cell
* calculated formation energy: 0.15 eV per atom


Record 3
TaAsPt2 | PBE | optimized geometry

```
data_TaAsPt2
_chemical_formula_sum 'Ta1 As1 Pt2'
_symmetry_space_group_name_H-M 'P m m m'
_symmetry_Int_Tables_number 47
_symmetry_space_group_name_Hall '-P 2 2'
_cell_length_a 3.223
_cell_length_b 4.418
_cell_length_c 4.584
_cell_angle_alpha 90.00
_cell_angle_beta 90.00
_cell_angle_gamma 90.00
loop_
_atom_site_label
_atom_site_type_symbol
_atom_site_fract_x
_atom_site_fract_y
_atom_site_fract_z
_atom_site_occupancy
Ta1 Ta 0.000 0.000 0.000 1
As1 As 0.500 0.500 0.000 1
Pt1 Pt 0.000 0.500 0.500 1
Pt2 Pt 0.500 0.000 0.500 1
```

Summary:
* magnetization: 0.000 μB/cell
* calculated formation energy: -0.27 eV per atom


Record 4
SmDyTl | PBE | optimized geometry

```
data_SmDyTl
_chemical_formula_sum 'Sm2 Dy2 Tl2'
_symmetry_space_group_name_H-M 'P 63/m m c'
_symmetry_Int_Tables_number 194
_symmetry_space_group_name_Hall '-P 6c 2c'
_cell_length_a 5.4704
_cell_length_b 5.4704
_cell_length_c 6.7536
_cell_angle_alpha 90.00
_cell_angle_beta 90.00
_cell_angle_gamma 120.00
loop_
_atom_site_label
_atom_site_type_symbol
_atom_site_fract_x
_atom_site_fract_y
_atom_site_fract_z
_atom_site_occupancy
Sm1 Sm 0.0000 0.0000 0.0000 1
Dy1 Dy 0.3333 0.6667 0.2500 1
Tl1 Tl 0.3333 0.6667 0.7500 1
```

Summary:
* relative energy among the computed polymorphs: 0.0 meV/atom
* magnetization: 0.002 μB/cell
* calculated formation energy: -0.26 eV per atom


Record 5
PuHfU | PBE | optimized geometry

```
data_PuHfU
_chemical_formula_sum 'Pu1 Hf1 U1'
_symmetry_space_group_name_H-M 'P -6 m 2'
_symmetry_Int_Tables_number 187
_symmetry_space_group_name_Hall 'P -6 2'
_cell_length_a 4.9656
_cell_length_b 4.9656
_cell_length_c 3.0155
_cell_angle_alpha 90.00
_cell_angle_beta 90.00
_cell_angle_gamma 120.00
loop_
_atom_site_label
_atom_site_type_symbol
_atom_site_fract_x
_atom_site_fract_y
_atom_site_fract_z
_atom_site_occupancy
Pu1 Pu 0.0000 0.0000 0.0000 1
Hf1 Hf 0.3333 0.6667 0.5000 1
U1 U 0.6667 0.3333 0.0000 1
```

Summary:
* relative energy among the computed polymorphs: 0.0 meV/atom
* magnetization: 3.408 μB/cell
* calculated formation energy: 0.14 eV per atom


Record 6
Zn3IrBr9 | PBE | optimized geometry

```
data_Zn3IrBr9
_chemical_formula_sum 'Zn12 Ir4 Br36'
_symmetry_space_group_name_H-M 'C 1 c 1'
_symmetry_Int_Tables_number 9
_symmetry_space_group_name_Hall 'C -2yc'
_cell_length_a 17.574
_cell_length_b 9.176
_cell_length_c 12.960
_cell_angle_alpha 90.00
_cell_angle_beta 128.16
_cell_angle_gamma 90.00
loop_
_atom_site_label
_atom_site_type_symbol
_atom_site_fract_x
_atom_site_fract_y
_atom_site_fract_z
_atom_site_occupancy
Zn1 Zn 0.000 0.041 0.000 1
Zn2 Zn 0.147 0.423 0.953 1
Zn3 Zn 0.389 0.108 0.586 1
Ir1 Ir 0.265 0.222 0.769 1
Br1 Br 0.029 0.224 0.890 1
Br2 Br 0.060 0.396 0.277 1
Br3 Br 0.119 0.080 0.710 1
Br4 Br 0.168 0.448 0.640 1
Br5 Br 0.245 0.107 0.577 1
Br6 Br 0.282 0.301 0.971 1
Br7 Br 0.370 0.008 0.899 1
Br8 Br 0.378 0.361 0.513 1
Br9 Br 0.414 0.349 0.829 1
```

Summary:
* formation energy without anion corrections: -0.583 eV per atom
* magnetization: 0.000 μB/cell


Record 7
Sc2BeP | PBE | optimized geometry

```
data_Sc2BeP
_chemical_formula_sum 'Sc2 Be1 P1'
_symmetry_space_group_name_H-M 'P 4 m m'
_symmetry_Int_Tables_number 99
_symmetry_space_group_name_Hall 'P 4 -2'
_cell_length_a 3.139
_cell_length_b 3.139
_cell_length_c 6.998
_cell_angle_alpha 90.00
_cell_angle_beta 90.00
_cell_angle_gamma 90.00
loop_
_atom_site_label
_atom_site_type_symbol
_atom_site_fract_x
_atom_site_fract_y
_atom_site_fract_z
_atom_site_occupancy
Sc1 Sc 0.000 0.000 0.000 1
Sc2 Sc 0.500 0.500 0.361 1
Be1 Be 0.000 0.000 0.622 1
P1 P 0.500 0.500 0.741 1
```

Summary:
* relative energy among the computed polymorphs: 596.9 meV/atom
* magnetization: 0.243 μB/cell
* calculated formation energy: -0.25 eV per atom


Record 8
CeGe2As2Rh7 | PBE | optimized geometry

```
data_CeGe2As2Rh7
_chemical_formula_sum 'Ce2 Ge4 As4 Rh14'
_symmetry_space_group_name_H-M 'C 1 2/m 1'
_symmetry_Int_Tables_number 12
_symmetry_space_group_name_Hall '-C 2y'
_cell_length_a 5.423
_cell_length_b 5.420
_cell_length_c 14.984
_cell_angle_alpha 90.00
_cell_angle_beta 95.98
_cell_angle_gamma 90.00
loop_
_atom_site_label
_atom_site_type_symbol
_atom_site_fract_x
_atom_site_fract_y
_atom_site_fract_z
_atom_site_occupancy
Ce1 Ce 0.000 0.000 0.000 1
Ge1 Ge 0.158 0.000 0.428 1
As1 As 0.073 0.500 0.251 1
Rh1 Rh 0.000 0.500 0.000 1
Rh2 Rh 0.112 0.500 0.415 1
Rh3 Rh 0.206 0.250 0.851 1
```

Summary:
* magnetization: 0.000 μB/cell
* calculated formation energy: -0.31 eV per atom


Record 9
LaRu | PBE | optimized geometry

```
data_LaRu
_chemical_formula_sum 'La4 Ru4'
_symmetry_space_group_name_H-M 'I m m a'
_symmetry_Int_Tables_number 74
_symmetry_space_group_name_Hall '-I 2b 2'
_cell_length_a 3.381
_cell_length_b 4.562
_cell_length_c 12.087
_cell_angle_alpha 90.00
_cell_angle_beta 90.00
_cell_angle_gamma 90.00
loop_
_atom_site_label
_atom_site_type_symbol
_atom_site_fract_x
_atom_site_fract_y
_atom_site_fract_z
_atom_site_occupancy
La1 La 0.000 0.250 0.111 1
Ru1 Ru 0.000 0.250 0.666 1
```

Summary:
* magnetization: 0.000 μB/cell
* calculated formation energy: -0.02 eV per atom


Record 10
La6Dy2Tl | PBE | optimized geometry

```
data_La6Dy2Tl
_chemical_formula_sum 'La24 Dy8 Tl4'
_symmetry_space_group_name_H-M 'C 1 2/c 1'
_symmetry_Int_Tables_number 15
_symmetry_space_group_name_Hall '-C 2yc'
_cell_length_a 8.128
_cell_length_b 9.523
_cell_length_c 15.691
_cell_angle_alpha 90.00
_cell_angle_beta 94.01
_cell_angle_gamma 90.00
loop_
_atom_site_label
_atom_site_type_symbol
_atom_site_fract_x
_atom_site_fract_y
_atom_site_fract_z
_atom_site_occupancy
La1 La 0.053 0.163 0.032 1
La2 La 0.167 0.440 0.585 1
La3 La 0.178 0.388 0.338 1
Dy1 Dy 0.143 0.239 0.823 1
Tl1 Tl 0.000 0.079 0.250 1
```

Summary:
* magnetization: 0.000 μB/cell
* calculated formation energy: 0.00 eV per atom


Record 11
LaSn3Rh5 | PBE | optimized geometry

```
data_LaSn3Rh5
_chemical_formula_sum 'La4 Sn12 Rh20'
_symmetry_space_group_name_H-M 'C m c m'
_symmetry_Int_Tables_number 63
_symmetry_space_group_name_Hall '-C 2c 2'
_cell_length_a 4.134
_cell_length_b 13.691
_cell_length_c 13.081
_cell_angle_alpha 90.00
_cell_angle_beta 90.00
_cell_angle_gamma 90.00
loop_
_atom_site_label
_atom_site_type_symbol
_atom_site_fract_x
_atom_site_fract_y
_atom_site_fract_z
_atom_site_occupancy
La1 La 0.000 0.129 0.250 1
Sn1 Sn 0.000 0.122 0.750 1
Sn2 Sn 0.000 0.377 0.541 1
Rh1 Rh 0.000 0.000 0.000 1
Rh2 Rh 0.000 0.193 0.567 1
Rh3 Rh 0.000 0.458 0.146 1
```

Summary:
* magnetization: 0.000 μB/cell
* calculated formation energy: -0.44 eV per atom


Record 12
DyHg5Pd | PBE | optimized geometry

```
data_DyHg5Pd
_chemical_formula_sum 'Dy1 Hg5 Pd1'
_symmetry_space_group_name_H-M 'P 4/m m m'
_symmetry_Int_Tables_number 123
_symmetry_space_group_name_Hall '-P 4 2'
_cell_length_a 4.840
_cell_length_b 4.840
_cell_length_c 7.090
_cell_angle_alpha 90.00
_cell_angle_beta 90.00
_cell_angle_gamma 90.00
loop_
_atom_site_label
_atom_site_type_symbol
_atom_site_fract_x
_atom_site_fract_y
_atom_site_fract_z
_atom_site_occupancy
Dy1 Dy 0.000 0.000 0.000 1
Hg1 Hg 0.000 0.500 0.289 1
Hg2 Hg 0.500 0.500 0.000 1
Pd1 Pd 0.000 0.000 0.500 1
```

Summary:
* magnetization: 0.000 μB/cell
* calculated formation energy: -0.28 eV per atom